Record 1
DFT (GGA-PBE) results for a relaxed structure of TaMo.

The density of states at the Fermi level is 1.41 states/eV per cell. The formation energy is 0.19 eV/atom.

Cell lengths 2.7055, 2.7055, 4.7274 Å; angles 90.00, 90.00, 90.00 degrees
Last column: nearest neighbours and their distance in Å.
Space group P4/mmm (No. 123)
Unique sites:
1 Ta 0.0000 0.0000 0.0000 x1  4 Ta 2.71
2 Mo 0.5000 0.5000 0.5000 x1  4 Mo 2.71

Record 2
DFT (GGA-PBE) results for a relaxed structure of SrSmZnCd.

The density of states at the Fermi level is 11.56 states/eV per cell. Its energy relative to the lowest polymorph listed for this composition is 16 kJ/mol of formula units. The formation energy is -0.24 eV/atom.

Cell lengths 7.6812, 7.6812, 7.6812 Å; angles 90.00, 90.00, 90.00 degrees
Last column: nearest neighbours and their distance in Å.
Space group F-43m (No. 216)
Unique sites:
1 Sr 0.0000 0.0000 0.0000 x4  4 Cd 3.33, 4 Zn 3.33
2 Sm 0.0000 0.0000 0.5000 x4  4 Zn 3.33, 4 Cd 3.33
3 Zn 0.2500 0.2500 0.2500 x4  4 Sr 3.33, 4 Sm 3.33
4 Cd 0.2500 0.2500 0.7500 x4  4 Sm 3.33, 4 Sr 3.33

Record 3
DFT (GGA-PBE) results for a relaxed structure of HgSb3Pb6.

Its formation energy without anion corrections is 0.07 eV/atom. The density of states at the Fermi level is 16.11 states/eV per cell. Its energy relative to the lowest polymorph listed for this composition is 16 kJ/mol of formula units.

Cell lengths 11.5823, 13.8684, 8.5702 Å; angles 90.00, 90.00, 90.00 degrees
Last column: nearest neighbours and their distance in Å.
Space group Cmc2_1 (No. 36)
Unique sites:
1 Hg 0.0000 0.1714 0.0000 x4  5 Pb 3.03-3.26
2 Sb 0.0000 0.4124 0.6090 x4  7 Pb 3.14-3.40
3 Sb 0.1909 0.0930 0.4751 x8  7 Pb 3.12-3.43
4 Pb 0.0000 0.0117 0.7201 x4  2 Hg 3.16-3.26, 4 Sb 3.25-3.43, 1 Pb 3.54
5 Pb 0.0000 0.2324 0.3398 x4  1 Hg 3.03, 2 Sb 3.16
6 Pb 0.1622 0.4434 0.2888 x8  4 Sb 3.12-3.35, 1 Pb 3.46
7 Pb 0.1703 0.2625 0.7597 x8  1 Hg 3.12, 3 Sb 3.14-3.40, 1 Pb 3.46

Record 4
DFT (GGA-PBE) results for a relaxed structure of TiCrB2.

The density of states at the Fermi level is 4.66 states/eV per cell. Its energy relative to the lowest polymorph listed for this composition is 40 kJ/mol of formula units. The formation energy is -0.30 eV/atom.

Cell lengths 3.0543, 3.0543, 15.0164 Å; angles 90.00, 90.00, 120.00 degrees
Last column: nearest neighbours and their distance in Å.
Space group R-3m (No. 166, hexagonal axes)
Unique sites:
1 Ti 0.0000 0.0000 0.0000 x3  6 B 2.23
2 Cr 0.0000 0.0000 0.5000 x3  6 B 2.10
3 B 0.0000 0.0000 0.2420 x6  3 Cr 2.10, 3 Ti 2.23

Record 5
DFT (GGA-PBE) results for a relaxed structure of Cr4ReSe.

Its formation energy without anion corrections is 0.47 eV/atom. The density of states at the Fermi level is 27.90 states/eV per cell.

Cell lengths 6.7983, 6.7983, 6.7983 Å; angles 90.00, 90.00, 90.00 degrees
Last column: nearest neighbours and their distance in Å.
Space group F-43m (No. 216)
Unique sites:
1 Cr 0.1241 0.1241 0.3759 x16  6 Cr 2.39-2.42
2 Re 0.0000 0.0000 0.0000 x4  12 Cr 2.82, 4 Se 2.94
3 Se 0.2500 0.2500 0.7500 x4  12 Cr 2.82, 4 Re 2.94

Record 6
DFT (GGA-PBE) results for a relaxed structure of ScOs2Pb.

The density of states at the Fermi level is 25.02 states/eV per cell. The formation energy is 0.53 eV/atom.

Cell lengths 6.5826, 6.5826, 6.5826 Å; angles 90.00, 90.00, 90.00 degrees
Last column: nearest neighbours and their distance in Å.
Space group F-43m (No. 216)
Unique sites:
1 Sc 0.0000 0.0000 0.0000 x4  4 Os 2.85, 4 Pb 2.85
2 Os 0.0000 0.0000 0.5000 x4  4 Pb 2.85, 4 Os 2.85
3 Os 0.2500 0.2500 0.2500 x4  4 Os 2.85, 4 Sc 2.85
4 Pb 0.2500 0.2500 0.7500 x4  4 Os 2.85, 4 Sc 2.85